Here is an optimized crystal structure of Ce4RuC2 from the Alexandria database. Energies are from GGA-PBE.

Lattice parameters (Å, degrees): 6.290 6.290 12.808 90.00 90.00 145.96
Fractional positions:
Ce (0.000, 0.000, 0.000)
Ce (0.000, 0.000, 0.500)
Ce (0.275, 0.725, 0.613)
Ce (0.275, 0.725, 0.887)
Ce (0.439, 0.561, 0.250)
Ce (0.561, 0.439, 0.750)
Ce (0.725, 0.275, 0.113)
Ce (0.725, 0.275, 0.387)
Ru (0.100, 0.900, 0.250)
Ru (0.900, 0.100, 0.750)
C (0.363, 0.637, 0.061)
C (0.363, 0.637, 0.439)
C (0.637, 0.363, 0.561)
C (0.637, 0.363, 0.939)

Energy: -105.57 eV for the cell shown
Total magnetization: 3.7 μB per cell
Space-group type: Cmcm
DFT formation energy: -18.29 kJ per mole of atoms